*w*
Na2AsAu2 PBE optimized geometry; SG = P4/mbm (127); crystal system = tetragonal
1.0
6.905 0.000 0.000
0.000 6.905 0.000
0.000 0.000 4.734
Na As Au
4 2 4
direct
0.170 0.670 0.500
0.670 0.830 0.500
0.830 0.330 0.500
0.330 0.170 0.500
0.000 0.000 0.000
0.500 0.500 0.000
0.355 0.855 0.000
0.855 0.645 0.000
0.645 0.145 0.000
0.145 0.355 0.000



*x*
Na2AsAu2 PBE optimized geometry; SG = P4/mbm (127); crystal system = tetragonal
1.0
-3.915 7.611 2.156
-7.637 -4.263 1.181
0.652 -0.425 2.683
Na As Au
4 2 4
direct
0.322 0.822 0.000
0.822 0.678 0.000
0.678 0.178 0.000
0.178 0.322 0.000
0.000 0.000 0.000
0.500 0.500 0.000
0.117 0.617 0.500
0.617 0.883 0.500
0.883 0.383 0.500
0.383 0.117 0.500



Of them, the most stable is *w* and the least stable is *x*.